8
Lattice="4.8096 0.0000 0.0000 0.0000 4.8096 0.0000 0.0000 0.0000 9.7817" Properties=species:S:1:pos:R:3 comment="PBE TlCd2Te, relaxed" dos_ef_per_ev_cell=2.91 pbc="T T T"
Tl 0.0000 0.0000 0.0000
Tl 2.4048 2.4048 4.8909
Cd 0.0000 2.4048 2.4454
Cd 0.0000 2.4048 7.3363
Cd 2.4048 0.0000 2.4454
Cd 2.4048 0.0000 7.3363
Te 0.0000 0.0000 4.8909
Te 2.4048 2.4048 0.0000

---

4
Lattice="3.1758 0.0000 0.0000 0.0000 5.4844 0.0000 0.0000 0.0000 6.5708" Properties=species:S:1:pos:R:3 comment="PBE TlCd2Te, relaxed" dos_ef_per_ev_cell=1.48 pbc="T T T"
Tl 0.0000 0.0000 0.0000
Cd 1.5879 2.7422 1.5727
Cd 1.5879 2.7422 4.9980
Te 1.5879 0.0000 3.2854

---

4
Lattice="3.1890 0.0000 0.0000 0.0000 6.0408 0.0000 -1.4990 0.0000 6.2512" Properties=species:S:1:pos:R:3 comment="PBE TlCdTe2, relaxed" dos_ef_per_ev_cell=1.74 pbc="T T T"
Tl 0.0000 0.0000 0.0000
Cd -0.7495 0.0000 3.1256
Te 0.4051 3.0204 4.6859
Te 1.2850 3.0204 1.5654

---

5
Lattice="5.6482 0.0000 0.0000 0.0000 5.6482 0.0000 0.0000 0.0000 5.6482" Properties=species:S:1:pos:R:3 comment="PBE Tl3CdTe, relaxed" dos_ef_per_ev_cell=1.94 pbc="T T T"
Tl 0.0000 0.0000 2.8241
Tl 0.0000 2.8241 0.0000
Tl 2.8241 0.0000 0.0000
Cd 0.0000 0.0000 0.0000
Te 2.8241 2.8241 2.8241

---

16
Lattice="8.6416 0.0000 0.0000 0.0000 8.6416 0.0000 0.0000 0.0000 6.8323" Properties=species:S:1:pos:R:3 comment="PBE Tl2CdTe, relaxed" dos_ef_per_ev_cell=4.30 pbc="T T T"
Tl 2.1285 2.1604 0.8540
Tl 2.1604 6.4493 2.5621
Tl 2.1604 6.5131 5.9782
Tl 2.1923 2.1604 4.2702
Tl 6.4493 6.4812 4.2702
Tl 6.4812 2.1285 5.9782
Tl 6.4812 2.1923 2.5621
Tl 6.5131 6.4812 0.8540
Cd 0.0000 0.0000 0.0000
Cd 0.0000 4.3208 1.7081
Cd 4.3208 0.0000 5.1242
Cd 4.3208 4.3208 3.4161
Te 0.0000 0.0000 3.4161
Te 0.0000 4.3208 5.1242
Te 4.3208 0.0000 1.7081
Te 4.3208 4.3208 0.0000

---

4
Lattice="6.0154 0.0000 0.0000 0.0000 6.0154 0.0000 0.0000 0.0000 3.3094" Properties=species:S:1:pos:R:3 comment="PBE TlCdTe2, relaxed" dos_ef_per_ev_cell=1.96 pbc="T T T"
Tl 0.0000 0.0000 0.0000
Cd 3.0077 3.0077 0.0000
Te 0.0000 3.0077 1.6547
Te 3.0077 0.0000 1.6547

---

Computed, not measured: an optimized crystal structure of Tl12CdTe7 at the PBE level of DFT.

Structure (extended XYZ):
```
20
Lattice="7.5021 4.3314 4.0613 -7.5021 4.3314 4.0613 0.0000 -8.6627 4.0613" Properties=species:S:1:pos:R:3 pbc="T T T"
Tl -5.5929 1.0874 5.0676
Tl -2.4727 -0.3010 4.1027
Tl -3.7382 -4.2999 7.1164
Tl 1.8547 -5.3873 5.0676
Tl 1.4970 -1.9909 4.1027
Tl 0.9757 2.2919 4.1027
Tl -0.9757 -2.2919 8.0813
Tl -1.4970 1.9909 8.0813
Tl -1.8547 5.3873 7.1164
Tl 3.7382 4.2999 5.0676
Tl 2.4727 0.3010 8.0813
Tl 5.5929 -1.0874 7.1164
Cd 0.0000 0.0000 0.0000
Te -1.0852 -2.2720 1.9864
Te -1.4251 2.0758 1.9864
Te 2.5102 0.1962 1.9864
Te 0.0000 0.0000 6.0920
Te -2.5102 -0.1962 10.1976
Te 1.4251 -2.0758 10.1976
Te 1.0852 2.2720 10.1976
```

---

8
Lattice="7.3158 0.0000 0.0000 0.0000 10.0765 0.0000 -0.0272 0.0000 3.3159" Properties=species:S:1:pos:R:3 comment="PBE Tl2CdTe, relaxed" dos_ef_per_ev_cell=3.42 pbc="T T T"
Tl 1.8289 2.5191 0.0000
Tl 1.8289 7.5574 0.0000
Tl 5.4868 2.5191 0.0000
Tl 5.4868 7.5574 0.0000
Cd -0.0136 0.0000 1.6579
Cd 3.6443 5.0382 1.6579
Te -0.0136 5.0382 1.6579
Te 3.6443 0.0000 1.6579

---

no.,M_tot (Bohr magnetons per cell),uncorrected formation energy (eV/atom)
1,0.00,-0.001
2,0.00,-0.013
3,0.00,0.020
4,0.00,0.117
5,0.00,-0.094
6,0.00,-0.049
7,0.00,-0.241
8,0.00,-0.066